Entry 1:
# PBE Sm2In2S7, relaxed
# **Electronic total energy**: -4.976 eV per atom
data_Sm2In2S7
_chemical_formula_sum 'Sm4 In4 S14'
_space_group_name_H-M_alt 'C 1 2/m 1'
_space_group_IT_number 12
_cell_length_a 8.2072
_cell_length_b 12.3022
_cell_length_c 6.9918
_cell_angle_alpha 90.00
_cell_angle_beta 114.70
_cell_angle_gamma 90.00
loop_
_space_group_symop_operation_xyz
'x,y,z'
'-x,-y,-z'
'-x,y,-z'
'x,-y,z'
'x+1/2,y+1/2,z'
'-x+1/2,-y+1/2,-z'
'-x+1/2,y+1/2,-z'
'x+1/2,-y+1/2,z'
loop_
_atom_site_label
_atom_site_fract_x
_atom_site_fract_y
_atom_site_fract_z
Sm1 0.0000 0.1839 0.0000
In1 0.2377 0.5000 0.3492
S1 0.0000 0.5000 0.5000
S2 0.1741 0.0000 0.2583
S3 0.2237 0.1735 0.7864


Entry 2:
# PBE ZrBPtRh2, relaxed
# **ΔH_f (0 K)**: -0.625 eV/atom
# **Electronic total energy**: -7.819 eV per atom
data_ZrBPtRh2
_chemical_formula_sum 'Zr1 B1 Pt1 Rh2'
_space_group_name_H-M_alt 'P 4/m m m'
_space_group_IT_number 123
_space_group_name_Hall '-P 4 2'
_cell_length_a 4.1784
_cell_length_b 4.1784
_cell_length_c 4.2219
_cell_angle_alpha 90.00
_cell_angle_beta 90.00
_cell_angle_gamma 90.00
loop_
_atom_site_label
_atom_site_fract_x
_atom_site_fract_y
_atom_site_fract_z
Zr1 0.0000 0.0000 0.0000
B1 0.5000 0.5000 0.5000
Pt1 0.5000 0.5000 0.0000
Rh1 0.0000 0.5000 0.5000